Entry 1:
Dy4Tm2Sc after structural relaxation, computed with PBE.

Structure (POSCAR):
```
Dy4Tm2Sc
1.0
2.600 -5.492 0.000
2.600 5.492 0.000
0.000 0.000 15.088
Dy Tm Sc
8 4 2
Cartesian
2.600 4.476 12.196
2.600 3.292 8.602
2.600 2.200 1.058
2.600 1.016 4.652
2.600 -1.016 10.436
2.600 -2.200 14.029
2.600 -3.292 6.486
2.600 -4.476 2.892
2.600 4.294 5.222
2.600 1.198 12.765
2.600 -1.198 2.322
2.600 -4.294 9.866
0.000 0.000 0.000
2.600 0.000 7.544
```

## Properties
E: -0.3400 Ry/atom
E above lowest polymorph: 42 meV per atom
Calculated formation energy: 0.186 eV/atom



Entry 2:
Dy8Tm3Sc2 after structural relaxation, computed with PBE.

Structure (POSCAR):
```
Dy8Tm3Sc2
1.0
7.343 -4.514 0.000
7.343 4.514 0.000
-2.169 0.000 6.250
Dy Tm Sc
8 3 2
Cartesian
4.908 2.877 1.924
0.871 0.000 1.367
7.609 2.877 4.326
3.245 0.000 3.797
9.271 0.000 2.453
4.908 -2.877 1.924
11.646 0.000 4.882
7.609 -2.877 4.326
7.343 1.536 0.000
6.258 0.000 3.125
7.343 -1.536 0.000
4.224 0.000 0.498
8.293 0.000 5.752
```

## Properties
E: -0.3388 Ry/atom
E above lowest polymorph: 0 meV per atom
Calculated formation energy: 0.228 eV/atom